Compound: YAs3
Source: Alexandria
Functional: GGA-PBE
Structure: optimized geometry

The total energy is -45.11 eV for the cell shown. The crystal system is orthorhombic. For the formation energy from the elements, the calculation gives -0.535 eV per atom. For the calculated density, the calculation gives 5941 kg/m3.

```
YAs3
1.0
5.662 0.000 0.000
0.000 5.682 0.000
0.000 0.000 5.451
Y As
2 6
Direct
0.250 0.250 0.069 Y
0.750 0.750 0.931 Y
0.250 0.521 0.547 As
0.250 0.750 0.076 As
0.250 0.979 0.547 As
0.750 0.021 0.453 As
0.750 0.250 0.924 As
0.750 0.479 0.453 As
```

Compound: YAs3
Source: Alexandria
Functional: GGA-PBE
Structure: optimized geometry

The total energy is -91.60 eV for the cell shown. The crystal system is orthorhombic. For the formation energy from the elements, the calculation gives -0.622 eV per atom. For the calculated density, the calculation gives 5658 kg/m3.

```
YAs3
1.0
8.189 0.000 0.000
0.000 8.019 0.000
0.000 0.000 5.607
Y As
4 12
Direct
0.047 0.250 0.109 Y
0.453 0.750 0.609 Y
0.547 0.250 0.391 Y
0.953 0.750 0.891 Y
0.068 0.750 0.392 As
0.250 0.001 0.866 As
0.250 0.499 0.866 As
0.250 0.501 0.366 As
0.250 0.999 0.366 As
0.432 0.250 0.892 As
0.568 0.750 0.108 As
0.750 0.001 0.634 As
0.750 0.499 0.634 As
0.750 0.501 0.134 As
0.750 0.999 0.134 As
0.932 0.250 0.608 As
```

Compound: YAs3
Source: Alexandria
Functional: GGA-PBE
Structure: optimized geometry

The total energy is -44.83 eV for the cell shown. The crystal system is orthorhombic. For the formation energy from the elements, the calculation gives -0.501 eV per atom. For the calculated density, the calculation gives 6020 kg/m3.

```
YAs3
1.0
3.035 -5.258 0.000
3.035 5.258 0.000
0.000 0.000 5.422
Y As
2 6
Direct
0.148 0.852 0.750 Y
0.852 0.148 0.250 Y
0.137 0.344 0.750 As
0.313 0.687 0.250 As
0.344 0.137 0.250 As
0.656 0.863 0.750 As
0.687 0.313 0.750 As
0.863 0.656 0.250 As
```

Compound: Y2As3
Source: Alexandria
Functional: GGA-PBE
Structure: optimized geometry

As for the relative energy among the computed polymorphs: 0.283 eV per atom. The total energy is -30.48 eV for the cell shown. The crystal system is trigonal. For the formation energy from the elements, the calculation gives -0.720 eV per atom. For the calculated density, the calculation gives 5434 kg/m3.

```
Y2As3
1.0
1.955 1.129 9.287
-1.955 1.129 9.287
0.000 -2.258 9.287
Y As
2 3
Direct
0.105 0.105 0.105 Y
0.895 0.895 0.895 Y
0.302 0.302 0.302 As
0.500 0.500 0.500 As
0.698 0.698 0.698 As
```

Compound: YAs2
Source: Alexandria
Functional: GGA-PBE
Structure: optimized geometry

The total energy is -73.47 eV for the cell shown. The crystal system is tetragonal. For the formation energy from the elements, the calculation gives -0.868 eV per atom. For the calculated density, the calculation gives 6092 kg/m3.

```
YAs2
1.0
-1.998 1.998 16.303
1.998 -1.998 16.303
1.998 1.998 -16.303
Y As
4 8
Direct
0.303 0.553 0.750 Y
0.447 0.697 0.750 Y
0.553 0.303 0.250 Y
0.697 0.447 0.250 Y
0.030 0.780 0.250 As
0.125 0.375 0.750 As
0.220 0.970 0.250 As
0.375 0.125 0.250 As
0.625 0.875 0.750 As
0.780 0.030 0.750 As
0.875 0.625 0.250 As
0.970 0.220 0.750 As
```

Compound: YAs2
Source: Alexandria
Functional: GGA-PBE
Structure: optimized geometry

The total energy is -18.09 eV for the cell shown. The crystal system is tetragonal. For the formation energy from the elements, the calculation gives -0.777 eV per atom. For the calculated density, the calculation gives 5781 kg/m3.

```
YAs2
1.0
-1.932 1.932 4.594
1.932 -1.932 4.594
1.932 1.932 -4.594
Y As
1 2
Direct
0.000 0.000 0.000 Y
0.362 0.362 0.000 As
0.638 0.638 0.000 As
```